Record 1
Below is a relaxed structure of Sm4IrPt2, with properties calculated at the PBE-GGA level.

Computed properties:
N(E_F)	10.9	states/eV/cell
final energy	-6.5128	eV/atom
energy relative to the elements	-0.824	eV per atom

Cell: 7.8782 7.8795 7.8804 Å, 109.96 109.88 108.58°
With the nearest neighbours (Å) after each atom.
Atoms (fractional coordinates):
Sm (0.9330, 0.2372, 0.3040)  1 Ir 2.82, 3 Pt 2.88-2.92
Sm (0.3168, 0.5128, 0.1957)  1 Ir 2.82, 3 Pt 2.88-2.92
Sm (0.9332, 0.6289, 0.6961)  1 Ir 2.82, 3 Pt 2.88-2.92
Sm (0.7629, 0.0669, 0.6957)  1 Ir 2.82, 3 Pt 2.87-2.92
Sm (0.3711, 0.0672, 0.3042)  1 Ir 2.82, 3 Pt 2.87-2.92
Sm (0.3170, 0.1210, 0.8042)  1 Ir 2.82, 3 Pt 2.88-2.92
Sm (0.4871, 0.6828, 0.8039)  1 Ir 2.82, 3 Pt 2.87-2.92
Sm (0.8788, 0.6830, 0.1962)  1 Ir 2.82, 3 Pt 2.87-2.92
Ir (0.2495, 0.7494, 0.5000)  4 Sm 2.82
Ir (0.0006, 0.0007, 0.0000)  4 Sm 2.82
Pt (0.6252, 0.3750, 0.7502)  6 Sm 2.88-2.92
Pt (0.6248, 0.8750, 0.2498)  6 Sm 2.88-2.92
Pt (0.6250, 0.3751, 0.2502)  6 Sm 2.87-2.92
Pt (0.1250, 0.3748, 0.7498)  6 Sm 2.87-2.92

---

Record 2
Below is a relaxed structure of ReAsSeBr2, with properties calculated at the PBE-GGA level.

Computed properties:
N(E_F)	4.7	states/eV/cell
energy relative to the elements, uncorrected	0.72	eV per atom
final energy	-4.0663	eV/atom
excess energy over the best structure of this formula in the dataset	0.000	eV per atom

Cell: 4.9963 4.9963 4.9124 Å, 90.00 90.00 90.00°
With the nearest neighbours (Å) after each atom.
Atoms (fractional coordinates):
Re (0.0000, 0.0000, 0.0000)  2 As 2.46, 4 Br 2.50
As (0.0000, 0.0000, 0.5000)  2 Re 2.46
Se (0.5000, 0.5000, 0.5000)  8 Br 3.50, 4 As 3.53
Br (0.0000, 0.5000, 0.0000)  2 Re 2.50
Br (0.5000, 0.0000, 0.0000)  2 Re 2.50

---

Record 3
Below is a relaxed structure of KLaIr2, with properties calculated at the PBE-GGA level.

Computed properties:
N(E_F)	0.6	states/eV/cell
final energy	-5.4929	eV/atom
excess energy over the best structure of this formula in the dataset	0.602	eV per atom
energy relative to the elements	0.444	eV per atom

Cell: 9.7408 9.7408 9.7408 Å, 19.96 19.96 19.96°
With the nearest neighbours (Å) after each atom.
Atoms (fractional coordinates):
Ir (0.0093, 0.0093, 0.0093)  3 La 2.88
Ir (0.4907, 0.4907, 0.4907)  3 La 2.88
K (0.2500, 0.2500, 0.2500)  6 Ir 3.29, 6 K 3.38
La (0.7500, 0.7500, 0.7500)  6 Ir 2.88

---

Record 4
Below is a relaxed structure of PrCuAsH, with properties calculated at the PBE-GGA level.

Computed properties:
N(E_F)	0.1	states/eV/cell
final energy	-5.0378	eV/atom

Cell: 4.1786 4.1784 4.2784 Å, 90.00 90.00 120.00°
With the nearest neighbours (Å) after each atom.
Atoms (fractional coordinates):
Pr (0.5719, 0.1438, 0.3202)  3 H 2.42
Cu (0.2386, 0.4772, 0.8602)  1 H 1.74
As (0.9052, 0.8105, 0.7920)  3 Cu 2.43
H (0.2386, 0.4771, 0.2668)  1 Cu 1.74

---

Record 5
Below is a relaxed structure of Pa2MnGa4Ge2, with properties calculated at the PBE-GGA level.

Computed properties:
N(E_F)	9.0	states/eV/cell
final energy	-5.8438	eV/atom
energy relative to the elements	-0.343	eV per atom

Cell: 6.1957 6.1957 6.1957 Å, 89.11 120.52 120.52°
With the nearest neighbours (Å) after each atom.
Atoms (fractional coordinates):
Pa (0.5000, 0.7500, 0.2500)  4 Ge 3.08, 8 Ga 3.11
Pa (0.5000, 0.2500, 0.7500)  4 Ge 3.08, 8 Ga 3.11
Mn (0.0000, 0.0000, 0.0000)  2 Ge 2.44, 4 Ga 2.44
Ga (0.0000, 0.7190, 0.2810)  1 Mn 2.44, 2 Ga 2.69
Ga (0.4380, 0.7190, 0.7190)  1 Mn 2.44, 2 Ga 2.69
Ga (0.0000, 0.2810, 0.7190)  1 Mn 2.44, 2 Ga 2.69
Ga (0.5620, 0.2810, 0.2810)  1 Mn 2.44, 2 Ga 2.69
Ge (0.0000, 0.7236, 0.7236)  1 Mn 2.44
Ge (0.0000, 0.2764, 0.2764)  1 Mn 2.44

---

Record 6
Below is a relaxed structure of IrPd, with properties calculated at the PBE-GGA level.

Computed properties:
N(E_F)	9.1	states/eV/cell
final energy	-6.9218	eV/atom
energy relative to the elements	0.105	eV per atom

Cell: 4.7975 2.7729 9.0814 Å, 90.00 99.97 90.00°
With the nearest neighbours (Å) after each atom.
Atoms (fractional coordinates):
Ir (0.1070, 0.0000, 0.8707)  5 Ir 2.65-2.77, 7 Pd 2.72-2.82
Ir (0.8930, 0.0000, 0.1293)  5 Ir 2.65-2.77, 7 Pd 2.72-2.82
Ir (0.1070, 0.5000, 0.3707)  5 Ir 2.65-2.77, 7 Pd 2.72-2.82
Ir (0.8930, 0.5000, 0.6293)  5 Ir 2.65-2.77, 7 Pd 2.72-2.82
Pd (0.3789, 0.0000, 0.6226)  5 Pd 2.68-2.77, 7 Ir 2.72-2.82
Pd (0.6211, 0.0000, 0.3774)  5 Pd 2.68-2.77, 7 Ir 2.72-2.82
Pd (0.3789, 0.5000, 0.1226)  5 Pd 2.68-2.77, 7 Ir 2.72-2.82
Pd (0.6211, 0.5000, 0.8774)  5 Pd 2.68-2.77, 7 Ir 2.72-2.82

---

Record 7
Below is a relaxed structure of Sm12Dy3In, with properties calculated at the PBE-GGA level.

Computed properties:
N(E_F)	22.6	states/eV/cell
final energy	-4.6200	eV/atom
energy relative to the elements	-0.047	eV per atom

Cell: 5.0394 5.0394 20.4367 Å, 90.00 90.00 90.00°
With the nearest neighbours (Å) after each atom.
Atoms (fractional coordinates):
Sm (0.5000, 0.5000, 0.0000)  8 Sm 3.53, 4 In 3.56
Sm (0.5000, 0.5000, 0.2461)  4 Dy 3.56, 8 Sm 3.59-3.62
Sm (0.5000, 0.5000, 0.5000)  4 Dy 3.56, 8 Sm 3.61
Sm (0.5000, 0.5000, 0.7539)  4 Dy 3.56, 8 Sm 3.59-3.62
Sm (0.5000, 0.0000, 0.1210)  2 In 3.53, 8 Sm 3.53-3.59, 2 Dy 3.62
Sm (0.5000, 0.0000, 0.3736)  8 Sm 3.56-3.62, 4 Dy 3.59-3.61
Sm (0.5000, 0.0000, 0.6264)  8 Sm 3.56-3.62, 4 Dy 3.59-3.61
Sm (0.5000, 0.0000, 0.8790)  2 In 3.53, 8 Sm 3.53-3.59, 2 Dy 3.62
Sm (0.0000, 0.5000, 0.1210)  2 In 3.53, 8 Sm 3.53-3.59, 2 Dy 3.62
Sm (0.0000, 0.5000, 0.3736)  8 Sm 3.56-3.62, 4 Dy 3.59-3.61
Sm (0.0000, 0.5000, 0.6264)  8 Sm 3.56-3.62, 4 Dy 3.59-3.61
Sm (0.0000, 0.5000, 0.8790)  2 In 3.53, 8 Sm 3.53-3.59, 2 Dy 3.62
Dy (0.0000, 0.0000, 0.2483)  12 Sm 3.56-3.62
Dy (0.0000, 0.0000, 0.5000)  12 Sm 3.56-3.61
Dy (0.0000, 0.0000, 0.7517)  12 Sm 3.56-3.62
In (0.0000, 0.0000, 0.0000)  12 Sm 3.53-3.56

---

Record 8
Below is a relaxed structure of Ac3Mn5N12, with properties calculated at the PBE-GGA level.

Computed properties:
N(E_F)	19.0	states/eV/cell
energy relative to the elements, uncorrected	-0.39	eV per atom
final energy	-8.2979	eV/atom

Cell: 11.0211 11.0211 11.0211 Å, 109.47 109.47 109.47°
With the nearest neighbours (Å) after each atom.
Atoms (fractional coordinates):
Ac (0.7500, 0.3750, 0.1250)  8 N 2.51-2.79
Ac (0.8750, 0.7500, 0.1250)  8 N 2.51-2.79
Ac (0.3750, 0.7500, 0.6250)  8 N 2.51-2.79
Ac (0.2500, 0.1250, 0.3750)  8 N 2.51-2.79
Ac (0.8750, 0.1250, 0.2500)  8 N 2.51-2.79
Ac (0.3750, 0.6250, 0.2500)  8 N 2.51-2.79
Ac (0.6250, 0.3750, 0.7500)  8 N 2.51-2.79
Ac (0.1250, 0.8750, 0.7500)  8 N 2.51-2.79
Ac (0.7500, 0.8750, 0.6250)  8 N 2.51-2.79
Ac (0.6250, 0.2500, 0.3750)  8 N 2.51-2.79
Ac (0.1250, 0.2500, 0.8750)  8 N 2.51-2.79
Ac (0.2500, 0.6250, 0.8750)  8 N 2.51-2.79
Mn (0.1250, 0.3750, 0.2500)  4 N 1.74
Mn (0.0000, 0.5000, 0.0000)  6 N 2.01
Mn (0.0000, 0.0000, 0.0000)  6 N 2.01
Mn (0.3750, 0.2500, 0.1250)  4 N 1.74
Mn (0.5000, 0.0000, 0.5000)  6 N 2.01
Mn (0.5000, 0.5000, 0.0000)  6 N 2.01
Mn (0.1250, 0.7500, 0.3750)  4 N 1.74
Mn (0.7500, 0.1250, 0.8750)  4 N 1.74
Mn (0.7500, 0.6250, 0.3750)  4 N 1.74
Mn (0.3750, 0.1250, 0.7500)  4 N 1.74
Mn (0.6250, 0.8750, 0.2500)  4 N 1.74
Mn (0.5000, 0.5000, 0.5000)  6 N 2.01
Mn (0.5000, 0.0000, 0.0000)  6 N 2.01
Mn (0.0000, 0.0000, 0.5000)  6 N 2.01
Mn (0.2500, 0.3750, 0.6250)  4 N 1.74
Mn (0.2500, 0.8750, 0.1250)  4 N 1.74
Mn (0.0000, 0.5000, 0.5000)  6 N 2.01
Mn (0.8750, 0.2500, 0.6250)  4 N 1.74
Mn (0.6250, 0.7500, 0.8750)  4 N 1.74
Mn (0.8750, 0.6250, 0.7500)  4 N 1.74
N (0.6844, 0.1081, 0.9950)  1 Mn 1.74
N (0.3105, 0.4950, 0.3869)  1 Mn 1.74
N (0.0050, 0.3919, 0.3156)  1 Mn 1.74
N (0.4950, 0.1844, 0.1081)  1 Mn 1.74
N (0.5763, 0.6844, 0.6895)  1 Mn 1.74
N (0.0050, 0.6131, 0.1895)  1 Mn 1.74
N (0.3105, 0.8156, 0.4237)  1 Mn 1.74
N (0.1131, 0.9237, 0.1081)  1 Mn 1.74
N (0.6131, 0.0050, 0.6895)  1 Mn 1.74
N (0.6844, 0.5763, 0.1895)  1 Mn 1.74
N (0.8156, 0.5050, 0.3919)  1 Mn 1.74
N (0.8105, 0.8869, 0.9950)  1 Mn 1.74
N (0.1081, 0.6844, 0.4950)  1 Mn 1.74
N (0.3919, 0.3869, 0.0763)  1 Mn 1.74
N (0.0763, 0.8869, 0.3919)  1 Mn 1.74
N (0.4237, 0.1081, 0.6131)  1 Mn 1.74
N (0.0763, 0.1895, 0.1844)  1 Mn 1.74
N (0.5050, 0.6895, 0.1131)  1 Mn 1.74
N (0.8105, 0.9237, 0.3156)  1 Mn 1.74
N (0.1081, 0.4237, 0.1131)  1 Mn 1.74
N (0.3919, 0.0050, 0.8156)  1 Mn 1.74
N (0.6131, 0.6081, 0.4237)  1 Mn 1.74
N (0.8869, 0.8105, 0.4950)  1 Mn 1.74
N (0.8156, 0.3105, 0.9237)  1 Mn 1.74
N (0.3869, 0.3919, 0.5763)  1 Mn 1.74
N (0.1131, 0.1895, 0.5050)  1 Mn 1.74
N (0.1844, 0.6895, 0.0763)  1 Mn 1.74
N (0.1895, 0.0763, 0.6844)  1 Mn 1.74
N (0.6081, 0.9950, 0.1844)  1 Mn 1.74
N (0.8919, 0.5763, 0.8869)  1 Mn 1.74
N (0.4950, 0.3105, 0.8869)  1 Mn 1.74
N (0.5763, 0.8919, 0.3869)  1 Mn 1.74
N (0.9237, 0.8105, 0.8156)  1 Mn 1.74
N (0.9237, 0.1131, 0.6081)  1 Mn 1.74
N (0.8919, 0.3156, 0.5050)  1 Mn 1.74
N (0.1895, 0.1131, 0.0050)  1 Mn 1.74
N (0.6081, 0.6131, 0.9237)  1 Mn 1.74
N (0.3869, 0.9950, 0.3105)  1 Mn 1.74
N (0.3156, 0.4237, 0.8105)  1 Mn 1.74
N (0.1844, 0.4950, 0.6081)  1 Mn 1.74
N (0.8869, 0.0763, 0.8919)  1 Mn 1.74
N (0.6895, 0.1844, 0.5763)  1 Mn 1.74
N (0.5050, 0.8156, 0.8919)  1 Mn 1.74
N (0.9950, 0.3869, 0.8105)  1 Mn 1.74
N (0.4237, 0.3156, 0.3105)  1 Mn 1.74
N (0.9950, 0.6081, 0.6844)  1 Mn 1.74
N (0.6895, 0.5050, 0.6131)  1 Mn 1.74
N (0.3156, 0.8919, 0.0050)  1 Mn 1.74

---

Record 9
Below is a relaxed structure of Sc6AuO12, with properties calculated at the PBE-GGA level.

Computed properties:
N(E_F)	12.7	states/eV/cell
energy relative to the elements, uncorrected	-2.71	eV per atom
final energy	-8.0175	eV/atom

Cell: 6.1402 6.1402 6.1402 Å, 99.17 99.17 99.17°
With the nearest neighbours (Å) after each atom.
Atoms (fractional coordinates):
Sc (0.1424, 0.3121, 0.6092)  6 O 2.07-2.21
Sc (0.6879, 0.3908, 0.8576)  6 O 2.07-2.21
Sc (0.3908, 0.8576, 0.6879)  6 O 2.07-2.21
Sc (0.8576, 0.6879, 0.3908)  6 O 2.07-2.21
Sc (0.3121, 0.6092, 0.1424)  6 O 2.07-2.21
Sc (0.6092, 0.1424, 0.3121)  6 O 2.07-2.21
Au (0.0000, 0.0000, 0.0000)  6 O 2.03
O (0.4280, 0.1791, 0.5826)  4 Sc 2.07-2.21
O (0.1791, 0.5826, 0.4280)  4 Sc 2.07-2.21
O (0.5826, 0.4280, 0.1791)  4 Sc 2.07-2.21
O (0.5720, 0.8209, 0.4174)  4 Sc 2.07-2.21
O (0.8209, 0.4174, 0.5720)  4 Sc 2.07-2.21
O (0.4174, 0.5720, 0.8209)  4 Sc 2.07-2.21
O (0.0544, 0.9279, 0.6815)  1 Au 2.03, 2 Sc 2.17
O (0.3185, 0.9456, 0.0721)  1 Au 2.03, 2 Sc 2.17
O (0.0721, 0.3185, 0.9456)  1 Au 2.03, 2 Sc 2.17
O (0.9456, 0.0721, 0.3185)  1 Au 2.03, 2 Sc 2.17
O (0.6815, 0.0544, 0.9279)  1 Au 2.03, 2 Sc 2.17
O (0.9279, 0.6815, 0.0544)  1 Au 2.03, 2 Sc 2.17

---

Record 10
Below is a relaxed structure of PuNpRe, with properties calculated at the PBE-GGA level.

Computed properties:
N(E_F)	24.8	states/eV/cell
final energy	-13.1055	eV/atom
excess energy over the best structure of this formula in the dataset	0.000	eV per atom
energy relative to the elements	0.135	eV per atom

Cell: 3.4225 4.5131 13.8478 Å, 90.00 90.00 90.00°
With the nearest neighbours (Å) after each atom.
Atoms (fractional coordinates):
Np (0.3196, 0.7500, 0.8391)  3 Pu 2.42-2.52
Np (0.1804, 0.7500, 0.3391)  3 Pu 2.42-2.52
Np (0.6804, 0.2500, 0.1609)  3 Pu 2.42-2.52
Np (0.8196, 0.2500, 0.6609)  3 Pu 2.42-2.52
Re (0.3137, 0.2500, 0.5002)  2 Re 2.59, 2 Np 2.79-2.82, 1 Pu 2.83
Re (0.1863, 0.2500, 0.0002)  2 Re 2.59, 2 Np 2.79-2.82, 1 Pu 2.83
Re (0.6863, 0.7500, 0.4998)  2 Re 2.59, 2 Np 2.79-2.82, 1 Pu 2.83
Re (0.8137, 0.7500, 0.9998)  2 Re 2.59, 2 Np 2.79-2.82, 1 Pu 2.83
Pu (0.1459, 0.7500, 0.6694)  3 Np 2.42-2.52
Pu (0.3541, 0.7500, 0.1694)  3 Np 2.42-2.52
Pu (0.8541, 0.2500, 0.3306)  3 Np 2.42-2.52
Pu (0.6459, 0.2500, 0.8306)  3 Np 2.42-2.52

---

Record 11
Below is a relaxed structure of Ga3TeN, with properties calculated at the PBE-GGA level.

Computed properties:
N(E_F)	1.7	states/eV/cell
energy relative to the elements, uncorrected	0.30	eV per atom
final energy	-3.8108	eV/atom
excess energy over the best structure of this formula in the dataset	0.000	eV per atom

Cell: 4.5735 4.5735 4.5735 Å, 90.00 90.00 90.00°
With the nearest neighbours (Å) after each atom.
Atoms (fractional coordinates):
Te (0.5000, 0.5000, 0.5000)  12 Ga 3.23
Ga (0.0000, 0.5000, 0.0000)  2 N 2.29
Ga (0.0000, 0.0000, 0.5000)  2 N 2.29
Ga (0.5000, 0.0000, 0.0000)  2 N 2.29
N (0.0000, 0.0000, 0.0000)  6 Ga 2.29

---

Record 12
Below is a relaxed structure of NdInAu, with properties calculated at the PBE-GGA level.

Computed properties:
N(E_F)	3.8	states/eV/cell
final energy	-4.3275	eV/atom
energy relative to the elements	-0.733	eV per atom

Cell: 7.8544 7.8544 4.1783 Å, 90.00 90.00 120.00°
With the nearest neighbours (Å) after each atom.
Atoms (fractional coordinates):
Nd (0.0000, 0.5900, 0.5000)  5 Au 3.16-3.22, 6 In 3.37-3.51
Nd (0.5900, 0.0000, 0.5000)  5 Au 3.16-3.22, 6 In 3.37-3.51
Nd (0.4100, 0.4100, 0.5000)  5 Au 3.16-3.22, 6 In 3.37-3.51
In (0.0000, 0.2537, 0.0000)  4 Au 2.89-2.98
In (0.2537, 0.0000, 0.0000)  4 Au 2.89-2.98
In (0.7463, 0.7463, 0.0000)  4 Au 2.89-2.98
Au (0.0000, 0.0000, 0.5000)  6 In 2.89, 3 Nd 3.22
Au (0.6667, 0.3333, 0.0000)  3 In 2.98, 6 Nd 3.16
Au (0.3333, 0.6667, 0.0000)  3 In 2.98, 6 Nd 3.16

---

Record 13
Below is a relaxed structure of RbBaHg3, with properties calculated at the PBE-GGA level.

Computed properties:
N(E_F)	4.4	states/eV/cell
final energy	-0.6926	eV/atom
excess energy over the best structure of this formula in the dataset	0.433	eV per atom
energy relative to the elements	0.067	eV per atom

Cell: 6.2144 6.2144 6.2144 Å, 90.00 90.00 90.00°
With the nearest neighbours (Å) after each atom.
Atoms (fractional coordinates):
Hg (0.0000, 0.5000, 0.0000)  2 Rb 3.11
Hg (0.0000, 0.0000, 0.5000)  2 Rb 3.11
Hg (0.5000, 0.0000, 0.0000)  2 Rb 3.11
Rb (0.0000, 0.0000, 0.0000)  6 Hg 3.11
Ba (0.5000, 0.5000, 0.5000)  12 Hg 4.39